# HfMn2IrC

An optimized crystal structure of HfMn2IrC (PBE, Alexandria).

Geometry as CIF:
```
data_HfMn2IrC
_chemical_formula_sum 'Hf1 Mn2 Ir1 C1'
_cell_length_a 3.8421
_cell_length_b 3.8421
_cell_length_c 4.4361
_cell_angle_alpha 90.00
_cell_angle_beta 90.00
_cell_angle_gamma 90.00
_space_group_name_H-M_alt 'P 4/m m m'
_space_group_IT_number 123
_space_group_name_Hall '-P 4 2'
loop_
_atom_site_label
_atom_site_fract_x
_atom_site_fract_y
_atom_site_fract_z
Hf1 0.0000 0.0000 0.0000
Mn1 0.0000 0.5000 0.5000
Ir1 0.5000 0.5000 0.0000
C1 0.0000 0.0000 0.5000
```

Values from the calculation:
* total magnetization: 0.639 μB per atom
* formation enthalpy at 0 K: -1.3 eV/f.u.
* crystal system: tetragonal

# MnV4Ru5

An optimized crystal structure of MnV4Ru5 (PBE, Alexandria).

Geometry as CIF:
```
data_MnV4Ru5
_chemical_formula_sum 'Mn1 V4 Ru5'
_cell_length_a 3.0180
_cell_length_b 3.0180
_cell_length_c 15.0558
_cell_angle_alpha 90.00
_cell_angle_beta 90.00
_cell_angle_gamma 90.00
_space_group_name_H-M_alt 'P 4/m m m'
_space_group_IT_number 123
_space_group_name_Hall '-P 4 2'
loop_
_atom_site_label
_atom_site_fract_x
_atom_site_fract_y
_atom_site_fract_z
Mn1 0.0000 0.0000 0.0000
V1 0.0000 0.0000 0.1954
V2 0.0000 0.0000 0.3988
Ru1 0.5000 0.5000 0.1053
Ru2 0.5000 0.5000 0.3019
Ru3 0.5000 0.5000 0.5000
```

Values from the calculation:
* total magnetization: 0.502 μB per atom
* formation enthalpy at 0 K: -2.2 eV/f.u.
* crystal system: tetragonal

# Ti3Co2Ni

An optimized crystal structure of Ti3Co2Ni (PBE, Alexandria).

Geometry as CIF:
```
data_Ti3Co2Ni
_chemical_formula_sum 'Ti3 Co2 Ni1'
_cell_length_a 2.9655
_cell_length_b 2.9655
_cell_length_c 9.0625
_cell_angle_alpha 90.00
_cell_angle_beta 90.00
_cell_angle_gamma 90.00
_space_group_name_H-M_alt 'P 4/m m m'
_space_group_IT_number 123
_space_group_name_Hall '-P 4 2'
loop_
_atom_site_label
_atom_site_fract_x
_atom_site_fract_y
_atom_site_fract_z
Ti1 0.0000 0.0000 0.0000
Ti2 0.0000 0.0000 0.3288
Co1 0.5000 0.5000 0.1635
Ni1 0.5000 0.5000 0.5000
```

Values from the calculation:
* total magnetization: 0.000 μB per atom
* formation enthalpy at 0 K: -2.2 eV/f.u.
* crystal system: tetragonal
* offset from the most stable computed form: 3 meV per atom